(1)
Entry from the Alexandria database: a relaxed structure of RbTl2In2Hg2 (PBE-GGA).

Structure (CIF):
```
data_RbTl2In2Hg2
_cell_length_a 5.1876
_cell_length_b 5.1876
_cell_length_c 30.1623
_cell_angle_alpha 90.00
_cell_angle_beta 90.00
_cell_angle_gamma 120.00
_symmetry_space_group_name_H-M 'R -3 m'
_symmetry_Int_Tables_number 166
_symmetry_space_group_name_Hall '-R 3 2"'
loop_
_atom_site_label
_atom_site_type_symbol
_atom_site_fract_x
_atom_site_fract_y
_atom_site_fract_z
_atom_site_occupancy
Rb1 Rb 0.0000 0.0000 0.0000 1
Tl1 Tl 0.0000 0.0000 0.1440 1
In1 In 0.0000 0.0000 0.4375 1
Hg1 Hg 0.0000 0.0000 0.2607 1
```

(2)
Entry from the Alexandria database: a relaxed structure of PmEr3Rh2 (PBE-GGA).

Structure (CIF):
```
data_PmEr3Rh2
_cell_length_a 16.058
_cell_length_b 4.254
_cell_length_c 10.651
_cell_angle_alpha 90.00
_cell_angle_beta 115.76
_cell_angle_gamma 90.00
_symmetry_space_group_name_H-M 'C 1 2/m 1'
_symmetry_Int_Tables_number 12
loop_
_symmetry_equiv_pos_as_xyz
'x,y,z'
'-x,-y,-z'
'-x,y,-z'
'x,-y,z'
'x+1/2,y+1/2,z'
'-x+1/2,-y+1/2,-z'
'-x+1/2,y+1/2,-z'
'x+1/2,-y+1/2,z'
loop_
_atom_site_label
_atom_site_type_symbol
_atom_site_fract_x
_atom_site_fract_y
_atom_site_fract_z
_atom_site_occupancy
Pm1 Pm 0.056 0.000 0.211 1
Er1 Er 0.074 0.500 0.667 1
Er2 Er 0.169 0.500 0.027 1
Er3 Er 0.212 0.000 0.595 1
Rh1 Rh 0.118 0.500 0.421 1
Rh2 Rh 0.139 0.000 0.844 1
```

no.,formation energy from the elements (eV/f.u.)
1,-0.6
2,-3.6